Entry 1:
Density functional theory data (PBE) for crystalline RbHg4F8 at its relaxed geometry.

Cell lengths 7.8080, 7.8080, 7.8080 Å; angles 55.75, 55.75, 55.75 degrees
Fractional coordinates of all 13 atoms:
Rb1 0.0000 0.0000 0.0000
Hg1 0.0000 0.0000 0.5000
Hg2 0.0000 0.5000 0.0000
Hg3 0.5000 0.0000 0.0000
Hg4 0.5000 0.5000 0.5000
F1 0.2212 0.7295 0.7295
F2 0.2216 0.2216 0.2216
F3 0.2705 0.2705 0.7788
F4 0.2705 0.7788 0.2705
F5 0.7295 0.2212 0.7295
F6 0.7295 0.7295 0.2212
F7 0.7784 0.7784 0.7784
F8 0.7788 0.2705 0.2705

Space group: R-3m
DFT total energy in Ha/atom: -0.105
Formation energy (no corrections) in eV/atom: -1.535
Fermi-level density of states in states/eV per atom: 0.097


Entry 2:
Density functional theory data (PBE) for crystalline K3U2Te6Pd at its relaxed geometry.

Cell lengths 7.5719, 7.5719, 8.6698 Å; angles 99.36, 99.36, 117.62 degrees
Fractional coordinates of all 12 atoms:
K1 0.0000 0.0000 0.0000
K2 0.3291 0.6709 0.0000
K3 0.6709 0.3291 0.0000
U1 0.1667 0.8333 0.5000
U2 0.8333 0.1667 0.5000
Te1 0.1214 0.4314 0.3070
Te2 0.2236 0.2236 0.7194
Te3 0.4314 0.1214 0.3070
Te4 0.5686 0.8786 0.6930
Te5 0.7764 0.7764 0.2806
Te6 0.8786 0.5686 0.6930
Pd1 0.5000 0.5000 0.5000

Space group: C2/m
DFT total energy in Ha/atom: -0.180
Formation energy (no corrections) in eV/atom: -0.732
Fermi-level density of states in states/eV per atom: 1.290


- Which value of formation energy (no corrections) does entry 1 give?
  -1.535 eV/atom


Please write out number 2 again, unchanged.
Density functional theory data (PBE) for crystalline K3U2Te6Pd at its relaxed geometry.

Cell lengths 7.5719, 7.5719, 8.6698 Å; angles 99.36, 99.36, 117.62 degrees
Fractional coordinates of all 12 atoms:
K1 0.0000 0.0000 0.0000
K2 0.3291 0.6709 0.0000
K3 0.6709 0.3291 0.0000
U1 0.1667 0.8333 0.5000
U2 0.8333 0.1667 0.5000
Te1 0.1214 0.4314 0.3070
Te2 0.2236 0.2236 0.7194
Te3 0.4314 0.1214 0.3070
Te4 0.5686 0.8786 0.6930
Te5 0.7764 0.7764 0.2806
Te6 0.8786 0.5686 0.6930
Pd1 0.5000 0.5000 0.5000

Space group: C2/m
DFT total energy in Ha/atom: -0.180
Formation energy (no corrections) in eV/atom: -0.732
Fermi-level density of states in states/eV per atom: 1.290


- Which value of formation energy (no corrections) does entry 2 give?
  -0.732 eV/atom


- Which of these has the lowest formation energy (no corrections)?
  RbHg4F8